# 1
VASP calculation (GGA-PBE) on a relaxed PrZn9Co2 crystal.

Excess energy over the best structure of this formula in the dataset: 0 meV per atom
Symmetry: I4_1/amd, No. 141

a = 8.1078 Å, b = 8.1078 Å, c = 8.1078 Å
α = 100.18°, β = 100.18°, γ = 130.28°
Closest atoms and distances in Å follow each position.
Atoms (fractional coordinates):
Pr: 0.3750 0.6250 0.7500  18 Zn 3.28-3.41, 4 Co 3.65
Pr: 0.6250 0.3750 0.2500  18 Zn 3.28-3.41, 4 Co 3.65
Zn: 0.1250 0.8750 0.2500  4 Co 2.74, 8 Zn 2.78
Zn: 0.1441 0.5680 0.3319  2 Co 2.51-2.54, 8 Zn 2.54-2.79
Zn: 0.1441 0.8123 0.5761  2 Co 2.51-2.54, 8 Zn 2.54-2.79
Zn: 0.1877 0.2638 0.3319  2 Co 2.51-2.54, 8 Zn 2.54-2.79
Zn: 0.1877 0.8559 0.9239  2 Co 2.51-2.54, 8 Zn 2.54-2.79
Zn: 0.2638 0.1877 0.8319  2 Co 2.51-2.54, 8 Zn 2.54-2.79
Zn: 0.2638 0.4320 0.0761  2 Co 2.51-2.54, 8 Zn 2.54-2.79
Zn: 0.4320 0.2638 0.5761  2 Co 2.51-2.54, 8 Zn 2.54-2.79
Zn: 0.4320 0.8559 0.1681  2 Co 2.51-2.54, 8 Zn 2.54-2.79
Zn: 0.5680 0.1441 0.8319  2 Co 2.51-2.54, 8 Zn 2.54-2.79
Zn: 0.5680 0.7362 0.4239  2 Co 2.51-2.54, 8 Zn 2.54-2.79
Zn: 0.7362 0.5680 0.9239  2 Co 2.51-2.54, 8 Zn 2.54-2.79
Zn: 0.7362 0.8123 0.1681  2 Co 2.51-2.54, 8 Zn 2.54-2.79
Zn: 0.8123 0.1441 0.0761  2 Co 2.51-2.54, 8 Zn 2.54-2.79
Zn: 0.8123 0.7362 0.6681  2 Co 2.51-2.54, 8 Zn 2.54-2.79
Zn: 0.8559 0.1877 0.4239  2 Co 2.51-2.54, 8 Zn 2.54-2.79
Zn: 0.8559 0.4320 0.6681  2 Co 2.51-2.54, 8 Zn 2.54-2.79
Zn: 0.8750 0.1250 0.7500  4 Co 2.74, 8 Zn 2.78
Co: 0.0000 0.0000 0.0000  10 Zn 2.51-2.74
Co: 0.0000 0.0000 0.5000  10 Zn 2.51-2.74
Co: 0.0000 0.5000 0.0000  10 Zn 2.51-2.74
Co: 0.5000 0.0000 0.5000  10 Zn 2.51-2.74

# 2
VASP calculation (GGA-PBE) on a relaxed Pr7Zn2Co2 crystal.

Symmetry: Cmmm, No. 65

a = 6.8981 Å, b = 6.8981 Å, c = 7.1347 Å
α = 90.00°, β = 90.00°, γ = 111.41°
Closest atoms and distances in Å follow each position.
Atoms (fractional coordinates):
Pr: 0.0000 0.0000 0.0000  2 Co 3.43, 4 Zn 3.78
Pr: 0.0000 0.5000 0.2555  2 Co 2.73
Pr: 0.0000 0.5000 0.7445  2 Co 2.73
Pr: 0.5000 0.0000 0.2555  2 Co 2.73
Pr: 0.5000 0.0000 0.7445  2 Co 2.73
Pr: 0.5000 0.5000 0.2474  2 Co 2.87, 2 Zn 3.19
Pr: 0.5000 0.5000 0.7526  2 Co 2.87, 2 Zn 3.19
Zn: 0.1618 0.1618 0.5000  1 Zn 2.51
Zn: 0.8382 0.8382 0.5000  1 Zn 2.51
Co: 0.3012 0.6988 0.0000  6 Pr 2.73-2.87
Co: 0.6988 0.3012 0.0000  6 Pr 2.73-2.87

Number 1: calculated total energy -2.7214 eV/atom, M_tot 0.02 μB/f.u.. Number 2: calculated total energy -4.5995 eV/atom, M_tot 0.00 μB/f.u..